No. 1
Below is Sc2Tl3I9 after structural relaxation, with properties calculated at the PBE-GGA level.

Calculated density = 4890 kg/m3
Calculated total energy = -3.360 eV/atom
Energy relative to the elements, uncorrected = -13.3 eV/f.u.

Cell: 10.8597 10.8597 10.8597 Å, 82.85 82.85 82.85°
Fractional positions:
Sc 0.1546 0.1546 0.1546
Sc 0.3454 0.3454 0.3454
Sc 0.6546 0.6546 0.6546
Sc 0.8454 0.8454 0.8454
Tl 0.0304 0.7500 0.4696
Tl 0.2500 0.5304 0.9696
Tl 0.4696 0.0304 0.7500
Tl 0.5304 0.9696 0.2500
Tl 0.7500 0.4696 0.0304
Tl 0.9696 0.2500 0.5304
I 0.0707 0.9238 0.7271
I 0.0762 0.2729 0.9293
I 0.0924 0.4076 0.2500
I 0.2271 0.4238 0.5707
I 0.2500 0.0924 0.4076
I 0.2729 0.9293 0.0762
I 0.4076 0.2500 0.0924
I 0.4238 0.5707 0.2271
I 0.4293 0.7729 0.5762
I 0.5707 0.2271 0.4238
I 0.5762 0.4293 0.7729
I 0.5924 0.7500 0.9076
I 0.7271 0.0707 0.9238
I 0.7500 0.9076 0.5924
I 0.7729 0.5762 0.4293
I 0.9076 0.5924 0.7500
I 0.9238 0.7271 0.0707
I 0.9293 0.0762 0.2729



No. 2
Below is Ti2NbTe4 after structural relaxation, with properties calculated at the PBE-GGA level.

Calculated density = 6807 kg/m3
Calculated total energy = -6.067 eV/atom
Energy relative to the elements, uncorrected = -4.0 eV/f.u.

Cell: 7.5178 7.5178 7.0869 Å, 117.19 117.19 28.87°
Fractional positions:
Ti 0.2485 0.2485 0.2992
Ti 0.7515 0.7515 0.7008
Nb 0.0000 0.0000 0.0000
Te 0.1070 0.1070 0.4488
Te 0.3617 0.3617 0.0395
Te 0.6383 0.6383 0.9605
Te 0.8930 0.8930 0.5512



No. 3
Below is KBa2Na2 after structural relaxation, with properties calculated at the PBE-GGA level.

Relative energy among the computed polymorphs = 0.000 eV/atom
ΔE_f = 0.047 eV/atom
Calculated density = 2145 kg/m3
Calculated total energy = -1.469 eV/atom

Cell: 9.9460 9.9460 5.6308 Å, 90.00 90.00 90.00°
Fractional positions:
K 0.0000 0.0000 0.0000
K 0.5000 0.5000 0.0000
Ba 0.1693 0.3307 0.5000
Ba 0.3307 0.8307 0.5000
Ba 0.6693 0.1693 0.5000
Ba 0.8307 0.6693 0.5000
Na 0.1243 0.6243 0.0000
Na 0.3757 0.1243 0.0000
Na 0.6243 0.8757 0.0000
Na 0.8757 0.3757 0.0000



No. 4
Below is Ca2ZnCu4Si3 after structural relaxation, with properties calculated at the PBE-GGA level.

Calculated density = 4828 kg/m3
Calculated total energy = -4.121 eV/atom
Energy relative to the elements, uncorrected = -3.3 eV/f.u.

Cell: 4.1067 4.1067 9.8705 Å, 90.00 90.00 90.00°
Fractional positions:
Ca 0.0000 0.5000 0.2441
Ca 0.5000 0.0000 0.7559
Zn 0.0000 0.0000 0.5000
Cu 0.0000 0.0000 0.0000
Cu 0.0000 0.5000 0.6346
Cu 0.5000 0.0000 0.3654
Cu 0.5000 0.5000 0.0000
Si 0.0000 0.5000 0.8719
Si 0.5000 0.0000 0.1281
Si 0.5000 0.5000 0.5000